1.
# TcNi3Mo, optimized geometry, DFT PBE-GGA
# E_tot   -7.64 eV/atom
# E above lowest polymorph   0.0000 eV/atom
# Size of the total moment   0.00 μB/cell
data_TcNi3Mo
_chemical_formula_sum 'Tc4 Ni12 Mo4'
_symmetry_space_group_name_H-M 'C 1 2/m 1'
_symmetry_Int_Tables_number 12
_cell_length_a 13.299
_cell_length_b 4.189
_cell_length_c 4.591
_cell_angle_alpha 90.00
_cell_angle_beta 93.75
_cell_angle_gamma 90.00
loop_
_symmetry_equiv_pos_as_xyz
'x,y,z'
'-x,-y,-z'
'-x,y,-z'
'x,-y,z'
'x+1/2,y+1/2,z'
'-x+1/2,-y+1/2,-z'
'-x+1/2,y+1/2,-z'
'x+1/2,-y+1/2,z'
loop_
_atom_site_label
_atom_site_fract_x
_atom_site_fract_y
_atom_site_fract_z
Tc1 0.239 0.000 0.160
Ni1 0.038 0.000 0.246
Ni2 0.147 0.500 0.321
Ni3 0.158 0.000 0.646
Mo1 0.064 0.500 0.804

***

2.
# TcNi2Mo, optimized geometry, DFT PBE-GGA
# E_tot   -8.02 eV/atom
# E above lowest polymorph   0.2168 eV/atom
# Size of the total moment   0.00 μB/cell
data_TcNi2Mo
_chemical_formula_sum 'Tc1 Ni2 Mo1'
_symmetry_space_group_name_H-M 'P 4/m m m'
_symmetry_Int_Tables_number 123
_symmetry_space_group_name_Hall '-P 4 2'
_cell_length_a 3.191
_cell_length_b 3.191
_cell_length_c 5.162
_cell_angle_alpha 90.00
_cell_angle_beta 90.00
_cell_angle_gamma 90.00
loop_
_atom_site_label
_atom_site_fract_x
_atom_site_fract_y
_atom_site_fract_z
Tc1 0.000 0.000 0.000
Ni1 0.500 0.500 0.250
Mo1 0.000 0.000 0.500

***

3.
# Tc2NiMo, optimized geometry, DFT PBE-GGA
# E_tot   -9.12 eV/atom
# E above lowest polymorph   0.2322 eV/atom
# Size of the total moment   0.00 μB/cell
data_Tc2NiMo
_chemical_formula_sum 'Tc8 Ni4 Mo4'
_symmetry_space_group_name_H-M 'F -4 3 m'
_symmetry_Int_Tables_number 216
_symmetry_space_group_name_Hall 'F -4 2 3'
_cell_length_a 6.101
_cell_length_b 6.101
_cell_length_c 6.101
_cell_angle_alpha 90.00
_cell_angle_beta 90.00
_cell_angle_gamma 90.00
loop_
_atom_site_label
_atom_site_fract_x
_atom_site_fract_y
_atom_site_fract_z
Tc1 0.000 0.000 0.000
Tc2 0.250 0.250 0.250
Ni1 0.250 0.250 0.750
Mo1 0.000 0.000 0.500

***

4.
# Tc2NiMo, optimized geometry, DFT PBE-GGA
# E_tot   -9.21 eV/atom
# E above lowest polymorph   0.1394 eV/atom
# Size of the total moment   0.00 μB/cell
data_Tc2NiMo
_chemical_formula_sum 'Tc2 Ni1 Mo1'
_symmetry_space_group_name_H-M 'P m m m'
_symmetry_Int_Tables_number 47
_cell_length_a 2.642
_cell_length_b 3.927
_cell_length_c 5.465
_cell_angle_alpha 90.00
_cell_angle_beta 90.00
_cell_angle_gamma 90.00
loop_
_symmetry_equiv_pos_as_xyz
'x,y,z'
'-x,-y,-z'
'-x,-y,z'
'x,y,-z'
'x,-y,-z'
'-x,y,z'
'-x,y,-z'
'x,-y,z'
loop_
_atom_site_label
_atom_site_fract_x
_atom_site_fract_y
_atom_site_fract_z
Tc1 0.000 0.000 0.230
Ni1 0.500 0.500 0.000
Mo1 0.500 0.500 0.500

***

5.
# Tc2Ni15Mo2, optimized geometry, DFT PBE-GGA
# E_tot   -6.64 eV/atom
# Size of the total moment   14.76 μB/cell
data_Tc2Ni15Mo2
_chemical_formula_sum 'Tc6 Ni45 Mo6'
_symmetry_space_group_name_H-M 'R -3 m'
_symmetry_Int_Tables_number 166
_symmetry_space_group_name_Hall '-R 3 2"'
_cell_length_a 8.0637
_cell_length_b 8.0637
_cell_length_c 12.3616
_cell_angle_alpha 90.00
_cell_angle_beta 90.00
_cell_angle_gamma 120.00
loop_
_atom_site_label
_atom_site_fract_x
_atom_site_fract_y
_atom_site_fract_z
Tc1 0.0000 0.0000 0.0976
Ni1 0.0000 0.3185 0.0000
Ni2 0.0000 0.5000 0.5000
Ni3 0.0074 0.5037 0.1571
Mo1 0.0000 0.0000 0.3012

***

6.
# TcNiMo2, optimized geometry, DFT PBE-GGA
# E_tot   -9.35 eV/atom
# E above lowest polymorph   0.0919 eV/atom
# Size of the total moment   0.00 μB/cell
data_TcNiMo2
_chemical_formula_sum 'Tc2 Ni2 Mo4'
_symmetry_space_group_name_H-M 'I -4 m 2'
_symmetry_Int_Tables_number 119
_symmetry_space_group_name_Hall 'I -4 -2'
_cell_length_a 3.905
_cell_length_b 3.905
_cell_length_c 7.536
_cell_angle_alpha 90.00
_cell_angle_beta 90.00
_cell_angle_gamma 90.00
loop_
_atom_site_label
_atom_site_fract_x
_atom_site_fract_y
_atom_site_fract_z
Tc1 0.000 0.000 0.000
Ni1 0.000 0.500 0.250
Mo1 0.000 0.000 0.500
Mo2 0.000 0.500 0.750

***

7.
# TcNi2Mo, optimized geometry, DFT PBE-GGA
# E_tot   -7.66 eV/atom
# E above lowest polymorph   0.5761 eV/atom
# Size of the total moment   0.00 μB/cell
data_TcNi2Mo
_chemical_formula_sum 'Tc4 Ni8 Mo4'
_symmetry_space_group_name_H-M 'I -4 2 d'
_symmetry_Int_Tables_number 122
_symmetry_space_group_name_Hall 'I -4 2bw'
_cell_length_a 6.663
_cell_length_b 6.663
_cell_length_c 5.030
_cell_angle_alpha 90.00
_cell_angle_beta 90.00
_cell_angle_gamma 90.00
loop_
_atom_site_label
_atom_site_fract_x
_atom_site_fract_y
_atom_site_fract_z
Tc1 0.000 0.000 0.000
Ni1 0.249 0.750 0.125
Mo1 0.000 0.000 0.500

***

8.
# TcNiMo2, optimized geometry, DFT PBE-GGA
# E_tot   -9.26 eV/atom
# E above lowest polymorph   0.1882 eV/atom
# Size of the total moment   0.00 μB/cell
data_TcNiMo2
_chemical_formula_sum 'Tc4 Ni4 Mo8'
_symmetry_space_group_name_H-M 'F -4 3 m'
_symmetry_Int_Tables_number 216
_symmetry_space_group_name_Hall 'F -4 2 3'
_cell_length_a 6.141
_cell_length_b 6.141
_cell_length_c 6.141
_cell_angle_alpha 90.00
_cell_angle_beta 90.00
_cell_angle_gamma 90.00
loop_
_atom_site_label
_atom_site_fract_x
_atom_site_fract_y
_atom_site_fract_z
Tc1 0.000 0.000 0.000
Ni1 0.250 0.250 0.250
Mo1 0.000 0.000 0.500
Mo2 0.250 0.250 0.750